# 1
# PBE Tb5YN6, relaxed
data_Tb5YN6
_chemical_formula_sum 'Tb10 Y2 N12'
_cell_length_a 6.052
_cell_length_b 10.485
_cell_length_c 6.052
_cell_angle_alpha 90.00
_cell_angle_beta 109.45
_cell_angle_gamma 90.00
_symmetry_space_group_name_H-M 'C 1 2/m 1'
_symmetry_Int_Tables_number 12
_symmetry_space_group_name_Hall '-C 2y'
loop_
_atom_site_label
_atom_site_type_symbol
_atom_site_fract_x
_atom_site_fract_y
_atom_site_fract_z
Tb1 Tb 0.000 0.000 0.000
Tb2 Tb 0.000 0.167 0.500
Tb3 Tb 0.000 0.333 0.000
Y1 Y 0.000 0.500 0.500
N1 N 0.250 0.000 0.750
N2 N 0.250 0.166 0.250
# E	-199.2	eV for the cell shown
# energy relative to the elements, uncorrected	-1.6688	eV/atom

# 2
# PBE Tb2YZrN4, relaxed
data_Tb2YZrN4
_chemical_formula_sum 'Tb2 Y1 Zr1 N4'
_cell_length_a 5.925
_cell_length_b 3.416
_cell_length_c 5.930
_cell_angle_alpha 90.00
_cell_angle_beta 109.25
_cell_angle_gamma 90.00
_symmetry_space_group_name_H-M 'P 1 2/m 1'
_symmetry_Int_Tables_number 10
_symmetry_space_group_name_Hall '-P 2y'
loop_
_atom_site_label
_atom_site_type_symbol
_atom_site_fract_x
_atom_site_fract_y
_atom_site_fract_z
Tb1 Tb 0.000 0.000 0.000
Tb2 Tb 0.500 0.500 0.000
Y1 Y 0.000 0.500 0.500
Zr1 Zr 0.500 0.000 0.500
N1 N 0.258 0.000 0.741
N2 N 0.264 0.500 0.264
# E	-71.2	eV for the cell shown
# energy relative to the elements, uncorrected	-1.7030	eV/atom

# 3
# PBE TbY2Zr3N6, relaxed
data_TbY2Zr3N6
_chemical_formula_sum 'Tb2 Y4 Zr6 N12'
_cell_length_a 5.804
_cell_length_b 10.036
_cell_length_c 5.858
_cell_angle_alpha 90.00
_cell_angle_beta 109.32
_cell_angle_gamma 90.00
_symmetry_space_group_name_H-M 'C 1 2/m 1'
_symmetry_Int_Tables_number 12
_symmetry_space_group_name_Hall '-C 2y'
loop_
_atom_site_label
_atom_site_type_symbol
_atom_site_fract_x
_atom_site_fract_y
_atom_site_fract_z
Tb1 Tb 0.000 0.000 0.000
Y1 Y 0.000 0.333 0.000
Zr1 Zr 0.000 0.167 0.500
Zr2 Zr 0.000 0.500 0.500
N1 N 0.243 0.333 0.732
N2 N 0.244 0.000 0.732
# E	-227.4	eV for the cell shown
# energy relative to the elements, uncorrected	-1.7128	eV/atom

What is the energy relative to the elements, uncorrected in the first record? -1.6688 eV/atom

What is the E in the first record? -199.2 eV for the cell shown

E of number 2 (Tb2YZrN4)? -71.2 eV for the cell shown